Record 1
The following is a PBE calculation of Ac3Co2N6 after structural relaxation, from Alexandria via LeMat-Bulk.

Lattice parameters (Å, degrees): 10.8220 10.8220 10.8220 159.31 159.31 29.42
With the nearest neighbours (Å) after each atom.
Fractional positions:
Ac 0.0000 0.0000 0.0000  8 N 2.67
Ac 0.1802 0.1802 0.0000  9 N 2.64-2.76
Ac 0.8198 0.8198 0.0000  9 N 2.64-2.76
Co 0.3968 0.3968 0.0000  5 N 1.89-1.97
Co 0.6032 0.6032 0.0000  5 N 1.89-1.97
N 0.0873 0.5873 0.5000  2 Co 1.97
N 0.3063 0.3063 0.0000  1 Co 1.89
N 0.4127 0.9127 0.5000  2 Co 1.97
N 0.5873 0.0873 0.5000  2 Co 1.97
N 0.6937 0.6937 0.0000  1 Co 1.89
N 0.9127 0.4127 0.5000  2 Co 1.97

Calculated values
Formation energy (no corrections) ... -465 meV per atom
V ... 14.38 Å³ per atom
Space group ... I4/mmm
N(E_F) ... 7.90 states/eV/cell
Total DFT energy (no corrections) ... -7.418 eV per atom

---

Record 2
The following is a PBE calculation of Ac6CoN2 after structural relaxation, from Alexandria via LeMat-Bulk.

Lattice parameters (Å, degrees): 8.1405 8.1405 10.4787 99.24 99.24 29.45
With the nearest neighbours (Å) after each atom.
Fractional positions:
Ac 0.0499 0.0499 0.2976  1 N 2.37
Ac 0.2231 0.2231 0.6390  3 N 2.47-2.50
Ac 0.3824 0.3824 0.0160  2 Co 2.80
Ac 0.6176 0.6176 0.9840  2 Co 2.80
Ac 0.7769 0.7769 0.3610  3 N 2.47-2.50
Ac 0.9501 0.9501 0.7024  1 N 2.37
Co 0.0000 0.0000 0.0000  6 Ac 2.80-3.09
N 0.1961 0.1961 0.3996  4 Ac 2.37-2.50
N 0.8039 0.8039 0.6004  4 Ac 2.37-2.50

Calculated values
Formation energy (no corrections) ... -467 meV per atom
V ... 37.41 Å³ per atom
Space group ... C2/m
N(E_F) ... 6.26 states/eV/cell
Total DFT energy (no corrections) ... -5.845 eV per atom

---

Record 3
The following is a PBE calculation of Ac4Co2N after structural relaxation, from Alexandria via LeMat-Bulk.

Lattice parameters (Å, degrees): 7.9780 7.9780 7.9780 141.89 141.89 55.00
With the nearest neighbours (Å) after each atom.
Fractional positions:
Ac 0.0000 0.5000 0.5000  2 N 2.60
Ac 0.1916 0.1916 0.0000  1 Co 2.66, 1 N 2.71
Ac 0.5000 0.0000 0.5000  2 N 2.60
Ac 0.8084 0.8084 0.0000  1 Co 2.66, 1 N 2.71
Co 0.3796 0.3796 0.0000  1 Ac 2.66
Co 0.6204 0.6204 0.0000  1 Ac 2.66
N 0.0000 0.0000 0.0000  6 Ac 2.60-2.71

Calculated values
Formation energy (no corrections) ... -112 meV per atom
Excess energy over the best structure of this formula in the dataset ... 64 meV per atom
V ... 27.44 Å³ per atom
Space group ... I4/mmm
N(E_F) ... 7.34 states/eV/cell
Total DFT energy (no corrections) ... -5.679 eV per atom

---

Record 4
The following is a PBE calculation of Ac4Co2N after structural relaxation, from Alexandria via LeMat-Bulk.

Lattice parameters (Å, degrees): 6.9238 4.1159 7.2765 90.00 107.30 90.00
With the nearest neighbours (Å) after each atom.
Fractional positions:
Ac 0.0739 0.0000 0.2752  2 N 2.77, 1 Co 2.82
Ac 0.3867 0.5000 0.7294  1 N 2.70, 2 Co 2.83
Ac 0.6133 0.5000 0.2706  1 N 2.70, 2 Co 2.83
Ac 0.9261 0.0000 0.7248  2 N 2.77, 1 Co 2.82
Co 0.3260 0.0000 0.9744  1 Co 2.33
Co 0.6740 0.0000 0.0256  1 Co 2.33
N 0.0000 0.5000 0.5000  6 Ac 2.70-2.77

Calculated values
Formation energy (no corrections) ... -176 meV per atom
Excess energy over the best structure of this formula in the dataset ... 0 meV per atom
V ... 28.28 Å³ per atom
Space group ... P2/m
N(E_F) ... 5.00 states/eV/cell
Total DFT energy (no corrections) ... -5.744 eV per atom

---

Record 5
The following is a PBE calculation of Ac4CoN after structural relaxation, from Alexandria via LeMat-Bulk.

Lattice parameters (Å, degrees): 7.0897 4.0374 7.2495 90.00 110.04 90.00
With the nearest neighbours (Å) after each atom.
Fractional positions:
Ac 0.2322 0.0000 0.2752  1 N 2.68, 2 Co 2.87
Ac 0.2350 0.5000 0.7209  2 N 2.75, 1 Co 2.86
Ac 0.7650 0.5000 0.2791  2 N 2.75, 1 Co 2.86
Ac 0.7678 0.0000 0.7248  1 N 2.68, 2 Co 2.87
Co 0.5000 0.5000 0.5000  6 Ac 2.86-2.87
N 0.0000 0.0000 0.5000  6 Ac 2.68-2.75

Calculated values
Formation energy (no corrections) ... -324 meV per atom
V ... 32.49 Å³ per atom
Space group ... P2/m
N(E_F) ... 5.95 states/eV/cell
Total DFT energy (no corrections) ... -5.635 eV per atom

---

Record 6
The following is a PBE calculation of AcCoN3 after structural relaxation, from Alexandria via LeMat-Bulk.

Lattice parameters (Å, degrees): 5.8472 5.8472 7.5547 100.67 100.67 42.52
With the nearest neighbours (Å) after each atom.
Fractional positions:
Ac 0.1654 0.1654 0.2949  3 N 2.53-2.57
Ac 0.8346 0.8346 0.7051  3 N 2.53-2.57
Co 0.4613 0.4613 0.3481  2 N 1.68-1.86
Co 0.5387 0.5387 0.6519  2 N 1.68-1.86
N 0.3507 0.3507 0.9708  1 N 1.19
N 0.3670 0.3670 0.5282  2 Co 1.86-1.92
N 0.3976 0.3976 0.1267  1 N 1.19
N 0.6024 0.6024 0.8733  1 N 1.19
N 0.6330 0.6330 0.4718  2 Co 1.86-1.92
N 0.6493 0.6493 0.0292  1 N 1.19

Calculated values
Formation energy (no corrections) ... -519 meV per atom
V ... 17.11 Å³ per atom
Space group ... C2/m
Total DFT energy (no corrections) ... -7.757 eV per atom

---

Record 7
The following is a PBE calculation of Ac6CoN after structural relaxation, from Alexandria via LeMat-Bulk.

Lattice parameters (Å, degrees): 6.9814 6.9814 6.9046 90.10 90.10 120.04
With the nearest neighbours (Å) after each atom.
Fractional positions:
Ac 0.9996 0.3067 0.2673  1 N 2.68, 1 Co 2.83
Ac 0.0004 0.6933 0.7327  1 N 2.68, 1 Co 2.83
Ac 0.3067 0.9996 0.2673  1 N 2.68, 1 Co 2.83
Ac 0.3072 0.3072 0.7337  1 N 2.68, 1 Co 2.83
Ac 0.6933 0.0004 0.7327  1 N 2.68, 1 Co 2.83
Ac 0.6928 0.6928 0.2663  1 N 2.68, 1 Co 2.83
Co 0.0000 0.0000 0.0000  6 Ac 2.83
N 0.0000 0.0000 0.5000  6 Ac 2.68

Calculated values
Formation energy (no corrections) ... -226 meV per atom
V ... 36.41 Å³ per atom
Space group ... C2/m
N(E_F) ... 11.19 states/eV/cell
Total DFT energy (no corrections) ... -5.236 eV per atom

---

Record 8
The following is a PBE calculation of Ac8Co3N after structural relaxation, from Alexandria via LeMat-Bulk.

Lattice parameters (Å, degrees): 8.3069 8.3069 8.3109 119.97 119.97 59.94
With the nearest neighbours (Å) after each atom.
Fractional positions:
Ac 0.2336 0.7562 0.7232  1 N 2.74, 2 Co 2.88-2.89
Ac 0.2351 0.2351 0.7234  1 N 2.77, 2 Co 2.87
Ac 0.2438 0.7664 0.2768  1 N 2.74, 2 Co 2.88-2.89
Ac 0.2560 0.2560 0.2676  3 Co 2.87
Ac 0.7440 0.7440 0.7324  3 Co 2.87
Ac 0.7562 0.2336 0.7232  1 N 2.74, 2 Co 2.88-2.89
Ac 0.7649 0.7649 0.2766  1 N 2.77, 2 Co 2.87
Ac 0.7664 0.2438 0.2768  1 N 2.74, 2 Co 2.88-2.89
Co 0.0000 0.5000 0.5000  6 Ac 2.87-2.89
Co 0.5000 0.0000 0.5000  6 Ac 2.87-2.89
Co 0.5000 0.5000 0.5000  6 Ac 2.87-2.88
N 0.0000 0.0000 0.5000  6 Ac 2.74-2.77

Calculated values
Formation energy (no corrections) ... -187 meV per atom
V ... 33.80 Å³ per atom
Space group ... C2/m
N(E_F) ... 11.84 states/eV/cell
Total DFT energy (no corrections) ... -5.396 eV per atom

---

Record 9
The following is a PBE calculation of Ac12Co5N after structural relaxation, from Alexandria via LeMat-Bulk.

Lattice parameters (Å, degrees): 7.2180 7.2180 13.7534 95.00 95.00 120.06
With the nearest neighbours (Å) after each atom.
Fractional positions:
Ac 0.0370 0.7189 0.6119  1 N 2.75, 2 Co 2.89
Ac 0.1279 0.4575 0.8846  3 Co 2.85-2.89
Ac 0.2019 0.2019 0.1162  3 Co 2.87-2.89
Ac 0.2811 0.9630 0.3881  1 N 2.75, 2 Co 2.89
Ac 0.3541 0.3541 0.6116  1 N 2.74, 2 Co 2.90
Ac 0.4575 0.1279 0.8846  3 Co 2.85-2.89
Ac 0.5425 0.8721 0.1154  3 Co 2.85-2.89
Ac 0.6459 0.6459 0.3884  1 N 2.74, 2 Co 2.90
Ac 0.7189 0.0370 0.6119  1 N 2.75, 2 Co 2.89
Ac 0.7981 0.7981 0.8838  3 Co 2.87-2.89
Ac 0.8721 0.5425 0.1154  3 Co 2.85-2.89
Ac 0.9630 0.2811 0.3881  1 N 2.75, 2 Co 2.89
Co 0.1670 0.8330 0.0000  6 Ac 2.85-2.89
Co 0.3331 0.6669 0.5000  6 Ac 2.89-2.90
Co 0.5000 0.5000 0.0000  6 Ac 2.86-2.89
Co 0.6669 0.3331 0.5000  6 Ac 2.89-2.90
Co 0.8330 0.1670 0.0000  6 Ac 2.85-2.89
N 0.0000 0.0000 0.5000  6 Ac 2.74-2.75

Calculated values
Formation energy (no corrections) ... -147 meV per atom
V ... 33.92 Å³ per atom
Space group ... C2/m
N(E_F) ... 14.80 states/eV/cell
Total DFT energy (no corrections) ... -5.323 eV per atom

---

Record 10
The following is a PBE calculation of AcCoN after structural relaxation, from Alexandria via LeMat-Bulk.

Lattice parameters (Å, degrees): 3.6848 3.6848 4.0377 90.00 90.00 120.00
With the nearest neighbours (Å) after each atom.
Fractional positions:
Ac 0.0000 0.0000 0.0000  6 N 2.93-2.94, 6 Co 2.93
Co 0.3333 0.6667 0.5003  3 N 2.13
N 0.6667 0.3333 0.5020  3 Co 2.13

Calculated values
Formation energy (no corrections) ... -98 meV per atom
Excess energy over the best structure of this formula in the dataset ... 598 meV per atom
V ... 15.83 Å³ per atom
Space group ... P3m1
N(E_F) ... 2.79 states/eV/cell
Total DFT energy (no corrections) ... -6.611 eV per atom

---

Record 11
The following is a PBE calculation of AcCoN after structural relaxation, from Alexandria via LeMat-Bulk.

Lattice parameters (Å, degrees): 3.8937 3.8937 3.5828 90.00 90.00 90.00
With the nearest neighbours (Å) after each atom.
Fractional positions:
Ac 0.0000 0.0000 0.0000  4 N 2.75
Co 0.5000 0.5000 0.5000  2 N 1.79
N 0.5000 0.5000 0.0000  2 Co 1.79

Calculated values
Formation energy (no corrections) ... -696 meV per atom
Excess energy over the best structure of this formula in the dataset ... 0 meV per atom
V ... 18.11 Å³ per atom
Space group ... P4/mmm
N(E_F) ... 2.88 states/eV/cell
Total DFT energy (no corrections) ... -7.209 eV per atom

---

Record 12
The following is a PBE calculation of AcCoN after structural relaxation, from Alexandria via LeMat-Bulk.

Lattice parameters (Å, degrees): 9.4794 3.5862 6.0228 90.00 90.00 90.00
With the nearest neighbours (Å) after each atom.
Fractional positions:
Ac 0.1707 0.2500 0.0656  4 N 2.62-2.87
Ac 0.3293 0.7500 0.5656  4 N 2.62-2.87
Ac 0.6707 0.2500 0.4344  4 N 2.62-2.87
Ac 0.8293 0.7500 0.9344  4 N 2.62-2.87
Co 0.0403 0.2500 0.6181  2 N 1.93
Co 0.4597 0.7500 0.1181  2 N 1.93
Co 0.5403 0.2500 0.8819  2 N 1.93
Co 0.9597 0.7500 0.3819  2 N 1.93
N 0.0721 0.7500 0.7270  2 Co 1.93
N 0.4279 0.2500 0.2270  2 Co 1.93
N 0.5721 0.7500 0.7730  2 Co 1.93
N 0.9279 0.2500 0.2730  2 Co 1.93

Calculated values
Formation energy (no corrections) ... -388 meV per atom
Excess energy over the best structure of this formula in the dataset ... 308 meV per atom
V ... 17.06 Å³ per atom
Space group ... Pnma
N(E_F) ... 8.95 states/eV/cell
Total DFT energy (no corrections) ... -6.901 eV per atom